TbY2Ho (PBE, optimized geometry); total energy = -5.523 eV per atom; DOS(E_F) = 1.5657 states/eV per atom; size of the total moment = 0.00 μB/f.u.
1.0
3.105 -1.794 0.000
3.105 1.794 0.000
-2.056 0.000 11.470
Tb Y Ho
1 2 1
Direct
0.000 0.000 0.000
0.250 0.250 0.751
0.833 0.833 0.499
0.416 0.416 0.249